Crystalline Pm2Pr4Sm at its relaxed geometry. Source: Alexandria via LeMat-Bulk, functional PBE.

Lattice parameters (Å, degrees): 7.578 8.267 8.263 88.50 97.55 97.53
Atoms (fractional coordinates):
Pm 0.000 0.000 0.000
Pm 0.000 0.000 0.500
Pm 0.000 0.500 0.500
Pm 0.500 0.000 0.500
Pr 0.329 0.328 0.328
Pr 0.671 0.173 0.172
Pr 0.329 0.827 0.828
Pr 0.671 0.672 0.672
Pr 0.723 0.744 0.243
Pr 0.722 0.243 0.744
Pr 0.278 0.757 0.256
Pr 0.277 0.256 0.757
Sm 0.500 0.500 0.000
Sm 0.000 0.500 0.000

Summary:
DOS(E_F) in states/eV/f.u.: 12.38
Magnetic moment in μB per formula unit: 0.0
Energy in eV per atom: -4.496
Energy above the lowest structure with this stoichiometry in meV per atom: 259
Crystal system: monoclinic
Calculated volume in Å³/cell: 508.7
DFT formation energy in eV/atom: 0.267